Entry 1:
A relaxed MgZn2Br crystal, computed with PBE.

It has space group Imm2 (No. 44), with a = 3.553 Å, b = 6.032 Å, c = 8.915 Å, α = 90.00°, β = 90.00° and γ = 90.00°. The inequivalent atoms are Mg at (0.000, 0.000, 0.000), Zn at (0.000, 0.000, 0.545), Zn at (0.000, 0.500, 0.257) and Br at (0.000, 0.500, 0.721).

The value obtained for the total DFT energy (no corrections) is -6.19 eV per formula unit. For the energy relative to the elements, uncorrected, the calculation gives -93 meV per atom. The total magnetization comes out at 0.00 μB per formula unit.

---

Entry 2:
A relaxed MgZnBr2 crystal, computed with PBE.

It has space group Pmmm (No. 47), with a = 4.040 Å, b = 4.070 Å, c = 6.611 Å, α = 90.00°, β = 90.00° and γ = 90.00°. The inequivalent atoms are Mg at (0.000, 0.000, 0.000), Zn at (0.500, 0.000, 0.500), Br at (0.000, 0.500, 0.500) and Br at (0.500, 0.500, 0.000).

The value obtained for the total DFT energy (no corrections) is -7.52 eV per formula unit. For the energy relative to the elements, uncorrected, the calculation gives -327 meV per atom. The total magnetization comes out at 0.00 μB per formula unit.